Entry 1:
A plane-wave DFT calculation with PBE was carried out for a geometry-optimized LuPuMo structure.

a b c (Å): 4.5589 4.5589 4.5589
angles (deg): 60.00 60.00 60.00
Last column: nearest neighbours and their distance in Å.
Atoms (fractional coordinates):
Lu 0.0000 0.0000 0.0000  4 Pu 2.79
Pu 0.2500 0.2500 0.2500  4 Mo 2.79, 4 Lu 2.79
Mo 0.5000 0.5000 0.5000  4 Pu 2.79

Properties
Calculated volume in Å³/cell: 67.0
ΔH_f (0 K) in eV per atom: 1.183

---

Entry 2:
A plane-wave DFT calculation with PBE was carried out for a geometry-optimized TbReI2 structure.

a b c (Å): 4.2854 4.2854 7.3014
angles (deg): 90.00 90.00 120.00
Last column: nearest neighbours and their distance in Å.
Atoms (fractional coordinates):
Tb 0.0000 0.0000 0.0000  4 I 3.02-3.08
Re 0.6667 0.3333 0.6376  6 I 2.64-2.93
I 0.0000 0.0000 0.4217  3 Re 2.93, 1 Tb 3.08
I 0.3333 0.6667 0.7631  3 Re 2.64

Properties
Calculated volume in Å³/cell: 116.1
Calculated total energy in eV/atom: -4.3679

---

Entry 3:
A plane-wave DFT calculation with PBE was carried out for a geometry-optimized TbZnCuNi3 structure.

a b c (Å): 5.0658 5.0658 3.8997
angles (deg): 90.00 90.00 120.00
Last column: nearest neighbours and their distance in Å.
Atoms (fractional coordinates):
Tb 0.0000 0.0000 0.0000  3 Cu 2.92, 3 Zn 2.92, 12 Ni 3.20
Zn 0.6667 0.3333 0.0000  6 Ni 2.45
Cu 0.3333 0.6667 0.0000  6 Ni 2.43
Ni 0.0031 0.5015 0.5000  2 Cu 2.43, 2 Zn 2.45, 4 Ni 2.51-2.56
Ni 0.4985 0.5015 0.5000  2 Cu 2.43, 2 Zn 2.45, 4 Ni 2.51-2.56
Ni 0.4985 0.9969 0.5000  2 Cu 2.43, 2 Zn 2.45, 4 Ni 2.51-2.56

Properties
Calculated volume in Å³/cell: 86.7
ΔH_f (0 K) in eV per atom: -0.340

---

- What is the formula in the third record?
  TbZnCuNi3